No. 1
Density functional theory data (PBE) for a relaxed structure of MoIr.

Cell: 9.673 4.447 5.594 Å, 90.00 90.00 90.00°
Element x y z (fractional)
1 Ir 0.419 0.750 0.255
2 Mo 0.833 0.250 0.003
3 Mo 0.420 0.750 0.750
4 Mo 0.080 0.250 0.250
5 Mo 0.920 0.750 0.750
6 Mo 0.667 0.750 0.503
7 Ir 0.668 0.750 0.005
8 Ir 0.081 0.250 0.755
9 Mo 0.580 0.250 0.250
10 Ir 0.919 0.750 0.245
11 Ir 0.332 0.250 0.995
12 Ir 0.581 0.250 0.745
13 Mo 0.167 0.750 0.997
14 Mo 0.333 0.250 0.497
15 Ir 0.168 0.750 0.495
16 Ir 0.832 0.250 0.505

Summary:
For the total energy, the calculation gives -162.13 eV/cell.

No. 2
Density functional theory data (PBE) for a relaxed structure of Mo2Ir.

Cell: 5.323 5.323 6.702 Å, 75.29 75.29 30.20°
Element x y z (fractional)
1 Ir 0.332 0.332 0.334
2 Ir 0.003 0.003 0.997
3 Mo 0.608 0.608 0.273
4 Mo 0.285 0.285 0.953
5 Mo 0.667 0.667 0.664
6 Mo 0.939 0.939 0.612

Summary:
For the total energy, the calculation gives -61.48 eV/cell. The offset from the most stable computed form comes out at 0.076 eV/atom.